Re2PtPb, relaxed, DFT GGA-PBE; magnetic moment = 0.0000 μB/atom; energy relative to the elements = 0.3508 eV per atom
1.0
2.9914 0.0000 0.0000
0.0000 2.9914 0.0000
0.0000 0.0000 8.0274
Re Pt Pb
2 1 1
Direct
0.0000 0.0000 0.0000 Re
0.5000 0.5000 0.1869 Re
0.5000 0.5000 0.7596 Pt
0.0000 0.0000 0.4781 Pb